(1)
! BeTlSb2 | Alexandria via LeMat-Bulk | PBEsol | optimized geometry; values from VASP
&SYSTEM
  ibrav = 0, nat = 16, ntyp = 3
/
ATOMIC_SPECIES
Be 9.01 Be.upf
Tl 204.38 Tl.upf
Sb 121.76 Sb.upf
CELL_PARAMETERS angstrom
7.192 0.000 0.000
0.000 7.192 0.000
0.000 0.000 7.192
ATOMIC_POSITIONS angstrom
Be 0.000 0.000 0.000
Be 0.000 3.596 3.596
Be 3.596 0.000 3.596
Be 3.596 3.596 0.000
Tl 0.000 0.000 3.596
Tl 0.000 3.596 0.000
Tl 3.596 0.000 0.000
Tl 3.596 3.596 3.596
Sb 1.798 1.798 1.798
Sb 1.798 1.798 5.394
Sb 1.798 5.394 1.798
Sb 1.798 5.394 5.394
Sb 5.394 1.798 1.798
Sb 5.394 1.798 5.394
Sb 5.394 5.394 1.798
Sb 5.394 5.394 5.394
! - energy relative to the elements, uncorrected (kJ/mol of formula units) = 219.0
! - magnetic moment (μB per formula unit) = 0.00
! - space group = Fm-3m, No. 225
! - relative energy among the computed polymorphs (eV/f.u.) = 0.02

(2)
! BeTl2Sb | Alexandria via LeMat-Bulk | PBEsol | optimized geometry; values from VASP
&SYSTEM
  ibrav = 0, nat = 4, ntyp = 3
/
ATOMIC_SPECIES
Be 9.01 Be.upf
Tl 204.38 Tl.upf
Sb 121.76 Sb.upf
CELL_PARAMETERS angstrom
3.601 0.000 0.000
0.000 3.601 0.000
0.000 0.000 7.812
ATOMIC_POSITIONS angstrom
Be 0.000 0.000 0.000
Tl 0.000 0.000 2.588
Tl 1.801 1.801 4.713
Sb 1.801 1.801 7.760
! - energy relative to the elements, uncorrected (kJ/mol of formula units) = 116.8
! - magnetic moment (μB per formula unit) = 0.00
! - space group = P4mm, No. 99

(3)
! BeSbW3 | Alexandria via LeMat-Bulk | PBEsol | optimized geometry; values from VASP
&SYSTEM
  ibrav = 0, nat = 5, ntyp = 3
/
ATOMIC_SPECIES
Be 9.01 Be.upf
Sb 121.76 Sb.upf
W 183.84 W.upf
CELL_PARAMETERS angstrom
4.272 0.000 0.000
0.000 4.272 0.000
0.000 0.000 4.272
ATOMIC_POSITIONS angstrom
Be 0.000 0.000 0.000
Sb 2.136 2.136 2.136
W 0.000 0.000 2.136
W 0.000 2.136 0.000
W 2.136 0.000 0.000
! - energy relative to the elements, uncorrected (kJ/mol of formula units) = 478.2
! - magnetic moment (μB per formula unit) = 0.00
! - space group = Pm-3m, No. 221

(4)
! BeSbW2 | Alexandria via LeMat-Bulk | PBEsol | optimized geometry; values from VASP
&SYSTEM
  ibrav = 0, nat = 8, ntyp = 3
/
ATOMIC_SPECIES
Be 9.01 Be.upf
Sb 121.76 Sb.upf
W 183.84 W.upf
CELL_PARAMETERS angstrom
3.448 0.000 0.000
0.000 4.328 0.000
0.000 0.000 8.210
ATOMIC_POSITIONS angstrom
Be 0.000 0.000 0.000
Be 1.724 2.164 4.105
Sb 0.000 2.164 6.159
Sb 1.724 0.000 2.054
W 0.000 0.000 4.234
W 0.000 2.164 2.197
W 1.724 0.000 6.302
W 1.724 2.164 0.129
! - energy relative to the elements, uncorrected (kJ/mol of formula units) = 202.2
! - magnetic moment (μB per formula unit) = 0.00
! - space group = Imm2, No. 44

(5)
! YBeSb | Alexandria via LeMat-Bulk | PBEsol | optimized geometry; values from VASP
&SYSTEM
  ibrav = 0, nat = 12, ntyp = 3
/
ATOMIC_SPECIES
Y 88.91 Y.upf
Be 9.01 Be.upf
Sb 121.76 Sb.upf
CELL_PARAMETERS angstrom
6.255 0.000 0.000
0.000 6.255 0.000
0.000 0.000 6.255
ATOMIC_POSITIONS angstrom
Y 0.000 0.000 0.000
Y 0.000 3.128 3.128
Y 3.128 0.000 3.128
Y 3.128 3.128 0.000
Be 1.564 1.564 4.691
Be 1.564 4.691 1.564
Be 4.691 1.564 1.564
Be 4.691 4.691 4.691
Sb 0.000 0.000 3.128
Sb 0.000 3.128 0.000
Sb 3.128 0.000 0.000
Sb 3.128 3.128 3.128
! - energy relative to the elements, uncorrected (kJ/mol of formula units) = -61.5
! - magnetic moment (μB per formula unit) = 0.00
! - space group = F-43m, No. 216
! - relative energy among the computed polymorphs (eV/f.u.) = 0.00

(6)
! YBeSb | Alexandria via LeMat-Bulk | PBEsol | optimized geometry; values from VASP
&SYSTEM
  ibrav = 0, nat = 12, ntyp = 3
/
ATOMIC_SPECIES
Y 88.91 Y.upf
Be 9.01 Be.upf
Sb 121.76 Sb.upf
CELL_PARAMETERS angstrom
6.590 0.000 0.000
0.000 6.590 0.000
0.000 0.000 6.590
ATOMIC_POSITIONS angstrom
Y 0.000 0.000 0.000
Y 0.000 3.295 3.295
Y 3.295 0.000 3.295
Y 3.295 3.295 0.000
Be 0.000 0.000 3.295
Be 0.000 3.295 0.000
Be 3.295 0.000 0.000
Be 3.295 3.295 3.295
Sb 1.648 1.648 4.943
Sb 1.648 4.943 1.648
Sb 4.943 1.648 1.648
Sb 4.943 4.943 4.943
! - energy relative to the elements, uncorrected (kJ/mol of formula units) = 54.5
! - magnetic moment (μB per formula unit) = 0.00
! - space group = F-43m, No. 216
! - relative energy among the computed polymorphs (eV/f.u.) = 1.20

(7)
! Y2BeSb2 | Alexandria via LeMat-Bulk | PBEsol | optimized geometry; values from VASP
&SYSTEM
  ibrav = 0, nat = 10, ntyp = 3
/
ATOMIC_SPECIES
Y 88.91 Y.upf
Be 9.01 Be.upf
Sb 121.76 Sb.upf
CELL_PARAMETERS angstrom
5.943 0.000 0.000
0.000 5.943 0.000
0.000 0.000 8.192
ATOMIC_POSITIONS angstrom
Y 0.000 2.971 2.048
Y 0.000 2.971 6.144
Y 2.971 0.000 2.048
Y 2.971 0.000 6.144
Be 0.000 0.000 0.000
Be 2.971 2.971 4.096
Sb 0.000 0.000 2.390
Sb 0.000 0.000 5.802
Sb 2.971 2.971 1.706
Sb 2.971 2.971 6.486
! - energy relative to the elements, uncorrected (kJ/mol of formula units) = -94.3
! - magnetic moment (μB per formula unit) = 1.19
! - space group = I4/mmm, No. 139

(8)
! BeZn2Sb | Alexandria via LeMat-Bulk | PBEsol | optimized geometry; values from VASP
&SYSTEM
  ibrav = 0, nat = 8, ntyp = 3
/
ATOMIC_SPECIES
Be 9.01 Be.upf
Zn 65.41 Zn.upf
Sb 121.76 Sb.upf
CELL_PARAMETERS angstrom
4.818 0.000 0.000
0.000 7.547 0.000
0.000 0.000 3.744
ATOMIC_POSITIONS angstrom
Be 0.000 0.000 0.000
Be 2.409 3.774 0.000
Zn 1.205 1.887 1.872
Zn 1.205 5.661 1.872
Zn 3.614 1.887 1.872
Zn 3.614 5.661 1.872
Sb 0.000 3.774 0.000
Sb 2.409 0.000 0.000
! - energy relative to the elements, uncorrected (kJ/mol of formula units) = 140.5
! - magnetic moment (μB per formula unit) = 0.00
! - space group = Cmmm, No. 65
! - relative energy among the computed polymorphs (eV/f.u.) = 0.00

(9)
! Be2ZnSb | Alexandria via LeMat-Bulk | PBEsol | optimized geometry; values from VASP
&SYSTEM
  ibrav = 0, nat = 16, ntyp = 3
/
ATOMIC_SPECIES
Be 9.01 Be.upf
Zn 65.41 Zn.upf
Sb 121.76 Sb.upf
CELL_PARAMETERS angstrom
6.214 0.000 0.000
0.000 6.214 0.000
0.000 0.000 6.214
ATOMIC_POSITIONS angstrom
Be 1.554 1.554 1.554
Be 1.554 1.554 4.661
Be 1.554 4.661 1.554
Be 1.554 4.661 4.661
Be 4.661 1.554 1.554
Be 4.661 1.554 4.661
Be 4.661 4.661 1.554
Be 4.661 4.661 4.661
Zn 0.000 0.000 0.000
Zn 0.000 3.107 3.107
Zn 3.107 0.000 3.107
Zn 3.107 3.107 0.000
Sb 0.000 0.000 3.107
Sb 0.000 3.107 0.000
Sb 3.107 0.000 0.000
Sb 3.107 3.107 3.107
! - energy relative to the elements, uncorrected (kJ/mol of formula units) = 242.5
! - magnetic moment (μB per formula unit) = 0.00
! - space group = Fm-3m, No. 225

(10)
! BeZnSb2 | Alexandria via LeMat-Bulk | PBEsol | optimized geometry; values from VASP
&SYSTEM
  ibrav = 0, nat = 4, ntyp = 3
/
ATOMIC_SPECIES
Be 9.01 Be.upf
Zn 65.41 Zn.upf
Sb 121.76 Sb.upf
CELL_PARAMETERS angstrom
3.853 0.000 0.000
0.000 3.918 0.000
0.000 0.000 5.275
ATOMIC_POSITIONS angstrom
Be 0.000 0.000 0.000
Zn 0.000 1.959 2.637
Sb 1.926 0.000 2.637
Sb 1.926 1.959 0.000
! - energy relative to the elements, uncorrected (kJ/mol of formula units) = 167.3
! - magnetic moment (μB per formula unit) = 0.00
! - space group = Pmmm, No. 47
! - relative energy among the computed polymorphs (eV/f.u.) = 0.89

(11)
! BeZn2Sb | Alexandria via LeMat-Bulk | PBEsol | optimized geometry; values from VASP
&SYSTEM
  ibrav = 0, nat = 16, ntyp = 3
/
ATOMIC_SPECIES
Be 9.01 Be.upf
Zn 65.41 Zn.upf
Sb 121.76 Sb.upf
CELL_PARAMETERS angstrom
6.471 0.000 0.000
0.000 6.471 0.000
0.000 0.000 6.471
ATOMIC_POSITIONS angstrom
Be 0.000 0.000 0.000
Be 0.000 3.236 3.236
Be 3.236 0.000 3.236
Be 3.236 3.236 0.000
Zn 0.000 0.000 3.236
Zn 0.000 3.236 0.000
Zn 1.618 1.618 4.853
Zn 1.618 4.853 1.618
Zn 3.236 0.000 0.000
Zn 3.236 3.236 3.236
Zn 4.853 1.618 1.618
Zn 4.853 4.853 4.853
Sb 1.618 1.618 1.618
Sb 1.618 4.853 4.853
Sb 4.853 1.618 4.853
Sb 4.853 4.853 1.618
! - energy relative to the elements, uncorrected (kJ/mol of formula units) = 179.0
! - magnetic moment (μB per formula unit) = 0.00
! - space group = F-43m, No. 216
! - relative energy among the computed polymorphs (eV/f.u.) = 0.40

(12)
! BeZnSb2 | Alexandria via LeMat-Bulk | PBEsol | optimized geometry; values from VASP
&SYSTEM
  ibrav = 0, nat = 4, ntyp = 3
/
ATOMIC_SPECIES
Be 9.01 Be.upf
Zn 65.41 Zn.upf
Sb 121.76 Sb.upf
CELL_PARAMETERS angstrom
3.431 0.000 0.000
0.000 3.431 0.000
0.000 0.000 7.132
ATOMIC_POSITIONS angstrom
Be 0.000 0.000 0.000
Zn 1.715 1.715 5.900
Sb 0.000 0.000 4.521
Sb 1.715 1.715 1.377
! - energy relative to the elements, uncorrected (kJ/mol of formula units) = 102.7
! - magnetic moment (μB per formula unit) = 0.00
! - space group = P4mm, No. 99
! - relative energy among the computed polymorphs (eV/f.u.) = 0.22

(13)
! BeZnSb2 | Alexandria via LeMat-Bulk | PBEsol | optimized geometry; values from VASP
&SYSTEM
  ibrav = 0, nat = 12, ntyp = 3
/
ATOMIC_SPECIES
Be 9.01 Be.upf
Zn 65.41 Zn.upf
Sb 121.76 Sb.upf
CELL_PARAMETERS angstrom
3.755 0.000 0.000
-1.878 3.252 0.000
0.000 0.000 19.269
ATOMIC_POSITIONS angstrom
Be 0.000 0.000 0.000
Be 0.000 2.168 12.846
Be 1.878 1.084 6.423
Zn 0.000 0.000 9.634
Zn 0.000 2.168 3.211
Zn 1.878 1.084 16.057
Sb 0.000 0.000 5.010
Sb 0.000 0.000 14.259
Sb 0.000 2.168 7.836
Sb 0.000 2.168 17.856
Sb 1.878 1.084 1.413
Sb 1.878 1.084 11.433
! - energy relative to the elements, uncorrected (kJ/mol of formula units) = 81.5
! - magnetic moment (μB per formula unit) = 0.00
! - space group = R-3m, No. 166
! - relative energy among the computed polymorphs (eV/f.u.) = 0.00

(14)
! Zr3BeSb | Alexandria via LeMat-Bulk | PBEsol | optimized geometry; values from VASP
&SYSTEM
  ibrav = 0, nat = 5, ntyp = 3
/
ATOMIC_SPECIES
Zr 91.22 Zr.upf
Be 9.01 Be.upf
Sb 121.76 Sb.upf
CELL_PARAMETERS angstrom
5.194 0.000 0.000
0.000 5.194 0.000
0.000 0.000 5.194
ATOMIC_POSITIONS angstrom
Zr 0.000 0.000 2.597
Zr 0.000 2.597 0.000
Zr 2.597 0.000 0.000
Be 2.597 2.597 2.597
Sb 0.000 0.000 0.000
! - energy relative to the elements, uncorrected (kJ/mol of formula units) = 528.4
! - magnetic moment (μB per formula unit) = 0.00
! - space group = Pm-3m, No. 221

(15)
! ScBe5 | Alexandria via LeMat-Bulk | PBEsol | optimized geometry; values from VASP
&SYSTEM
  ibrav = 0, nat = 6, ntyp = 2
/
ATOMIC_SPECIES
Sc 44.96 Sc.upf
Be 9.01 Be.upf
CELL_PARAMETERS angstrom
0.000 3.162 3.162
3.162 0.000 3.162
3.162 3.162 0.000
ATOMIC_POSITIONS angstrom
Sc 0.000 0.000 0.000
Be 3.958 2.365 2.365
Be 1.581 1.581 1.581
Be 2.365 3.958 2.365
Be 2.365 2.365 3.958
Be 3.958 3.958 3.958
! - magnetic moment (μB per formula unit) = 0.00
! - E_form (eV per atom) = 0.088
! - space group = F-43m, No. 216
! - relative energy among the computed polymorphs (eV/f.u.) = 1.69

(16)
! ScBe5 | Alexandria via LeMat-Bulk | PBEsol | optimized geometry; values from VASP
&SYSTEM
  ibrav = 0, nat = 6, ntyp = 2
/
ATOMIC_SPECIES
Sc 44.96 Sc.upf
Be 9.01 Be.upf
CELL_PARAMETERS angstrom
4.494 0.000 0.000
-2.247 3.892 0.000
0.000 0.000 3.513
ATOMIC_POSITIONS angstrom
Sc 0.000 0.000 0.000
Be -1.123 1.946 1.756
Be 0.000 2.595 0.000
Be 2.247 0.000 1.756
Be 1.123 1.946 1.756
Be 2.247 1.297 0.000
! - magnetic moment (μB per formula unit) = 0.00
! - E_form (eV per atom) = -0.193
! - space group = P6/mmm, No. 191
! - relative energy among the computed polymorphs (eV/f.u.) = 0.00

(17)
! ScBeSe2 | Alexandria via LeMat-Bulk | PBEsol | optimized geometry; values from VASP
&SYSTEM
  ibrav = 0, nat = 8, ntyp = 3
/
ATOMIC_SPECIES
Sc 44.96 Sc.upf
Be 9.01 Be.upf
Se 78.96 Se.upf
CELL_PARAMETERS angstrom
3.462 0.000 0.000
0.000 6.423 0.000
0.000 0.000 7.052
ATOMIC_POSITIONS angstrom
Sc 0.000 0.000 0.000
Sc 1.731 3.211 0.000
Be 0.000 0.000 3.526
Be 1.731 3.211 3.526
Se 0.000 3.211 1.973
Se 0.000 3.211 5.079
Se 1.731 0.000 1.973
Se 1.731 0.000 5.079
! - energy relative to the elements, uncorrected (kJ/mol of formula units) = -216.1
! - magnetic moment (μB per formula unit) = 0.00
! - space group = Cmmm, No. 65

(18)
! ScBeSe | Alexandria via LeMat-Bulk | PBEsol | optimized geometry; values from VASP
&SYSTEM
  ibrav = 0, nat = 12, ntyp = 3
/
ATOMIC_SPECIES
Sc 44.96 Sc.upf
Be 9.01 Be.upf
Se 78.96 Se.upf
CELL_PARAMETERS angstrom
6.073 0.000 0.000
0.000 6.073 0.000
0.000 0.000 6.073
ATOMIC_POSITIONS angstrom
Sc 0.000 0.000 0.000
Sc 0.000 3.037 3.037
Sc 3.037 0.000 3.037
Sc 3.037 3.037 0.000
Be 0.000 0.000 3.037
Be 0.000 3.037 0.000
Be 3.037 0.000 0.000
Be 3.037 3.037 3.037
Se 1.518 1.518 4.555
Se 1.518 4.555 1.518
Se 4.555 1.518 1.518
Se 4.555 4.555 4.555
! - energy relative to the elements, uncorrected (kJ/mol of formula units) = -0.7
! - magnetic moment (μB per formula unit) = 0.54
! - space group = F-43m, No. 216

(19)
! Sc2BeTcSe | Alexandria via LeMat-Bulk | PBEsol | optimized geometry; values from VASP
&SYSTEM
  ibrav = 0, nat = 5, ntyp = 4
/
ATOMIC_SPECIES
Sc 44.96 Sc.upf
Be 9.01 Be.upf
Tc 98.00 Tc.upf
Se 78.96 Se.upf
CELL_PARAMETERS angstrom
4.708 0.000 0.000
0.000 4.708 0.000
0.000 0.000 3.877
ATOMIC_POSITIONS angstrom
Sc 0.000 2.354 0.000
Sc 2.354 0.000 0.000
Be 0.000 0.000 0.000
Tc 2.354 2.354 1.938
Se 0.000 0.000 1.938
! - energy relative to the elements, uncorrected (kJ/mol of formula units) = 235.1
! - magnetic moment (μB per formula unit) = 0.00
! - space group = P4/mmm, No. 123

(20)
! ScBeSi | Alexandria via LeMat-Bulk | PBEsol | optimized geometry; values from VASP
&SYSTEM
  ibrav = 0, nat = 12, ntyp = 3
/
ATOMIC_SPECIES
Sc 44.96 Sc.upf
Be 9.01 Be.upf
Si 28.09 Si.upf
CELL_PARAMETERS angstrom
5.995 0.000 0.000
0.000 5.995 0.000
0.000 0.000 5.995
ATOMIC_POSITIONS angstrom
Sc 0.000 0.000 0.000
Sc 0.000 2.998 2.998
Sc 2.998 0.000 2.998
Sc 2.998 2.998 0.000
Be 1.499 1.499 1.499
Be 1.499 4.496 4.496
Be 4.496 1.499 4.496
Be 4.496 4.496 1.499
Si 1.499 1.499 4.496
Si 1.499 4.496 1.499
Si 4.496 1.499 1.499
Si 4.496 4.496 4.496
! - energy relative to the elements, uncorrected (kJ/mol of formula units) = 94.8
! - magnetic moment (μB per formula unit) = 0.00
! - space group = F-43m, No. 216